No. 1
## TlAsSe2 (PBEsol)

Data for TlAsSe2 after structural relaxation.

Lattice parameters (Å, degrees): 3.8172 3.8172 7.7466 90.00 90.00 90.00
Space group P4mm (No. 99)
Symmetry-distinct sites (fractional):
Tl (0.0000, 0.0000, 0.0000)
As (0.5000, 0.5000, 0.5150)
Se (0.0000, 0.0000, 0.4493)
Se (0.5000, 0.5000, 0.8176)

Properties
DFT total energy ... -4.00 eV per atom
E_form (uncorrected) ... -54 kJ/mol of formula units



No. 2
## AlSnMo2 (PBEsol)

Data for AlSnMo2 after structural relaxation.

Lattice parameters (Å, degrees): 6.3837 6.3837 6.3837 90.00 90.00 90.00
Space group Fm-3m (No. 225)
Symmetry-distinct sites (fractional):
Al (0.0000, 0.0000, 0.0000)
Sn (0.0000, 0.0000, 0.5000)
Mo (0.2500, 0.2500, 0.2500)

Properties
DFT total energy ... -7.71 eV per atom
Energy of formation from the pure elements ... 0.263 eV/atom



Number 1: total magnetic moment 0.0 Bohr magnetons per cell. Number 2: total magnetic moment 0.0 Bohr magnetons per cell.